Model one:
TaGaSbTe2 | GGA-PBE | relaxed

calculated volume = 32.23 Å³ per atom

a b c (Å): 5.4388 5.4388 5.4476
angles (deg): 90.00 90.00 90.00
Space group P4/mmm (No. 123)
Unique sites:
Ta1 0.0000 0.0000 0.0000
Ga1 0.5000 0.5000 0.5000
Sb1 0.0000 0.0000 0.5000
Te1 0.0000 0.5000 0.0000


Model two:
TaGaSbTe2 | GGA-PBE | relaxed

calculated volume = 27.80 Å³ per atom

a b c (Å): 5.2141 5.2141 5.1130
angles (deg): 90.00 90.00 90.00
Space group P4/mmm (No. 123)
Unique sites:
Ta1 0.0000 0.0000 0.0000
Ga1 0.5000 0.5000 0.5000
Sb1 0.5000 0.5000 0.0000
Te1 0.0000 0.5000 0.5000


List of relative energies, unit kJ/mol of atoms: model one 0.0; model two 86.3


Model one:
Tb2GaSb | GGA-PBE | relaxed

calculated volume = 27.53 Å³ per atom

a b c (Å): 4.4153 23.4620 4.2524
angles (deg): 90.00 90.00 90.00
Space group Cmcm (No. 63)
Unique sites:
Tb1 0.0000 0.0604 0.2500
Tb2 0.0000 0.3218 0.2500
Ga1 0.0000 0.4638 0.2500
Sb1 0.0000 0.1893 0.2500


Model two:
Tb2GaSb | GGA-PBE | relaxed

calculated volume = 28.27 Å³ per atom

a b c (Å): 4.1740 4.1740 22.4822
angles (deg): 90.00 90.00 120.00
Space group R-3m (No. 166, hexagonal axes)
Unique sites:
Tb1 0.0000 0.0000 0.2494
Ga1 0.0000 0.0000 0.0000
Sb1 0.0000 0.0000 0.5000


Model three:
Tb2GaSb | GGA-PBE | relaxed

calculated volume = 25.74 Å³ per atom

a b c (Å): 6.0179 4.1580 8.6764
angles (deg): 90.00 108.45 90.00
Space group P2_1/m (No. 11)
Unique sites:
Tb1 0.1979 0.2500 0.4268
Tb2 0.2868 0.7500 0.0642
Ga1 0.1061 0.2500 0.7970
Sb1 0.3784 0.7500 0.7068


List of relative energies, unit kJ/mol of atoms: model one 0.0; model two 14.4; model three 1.6


Model one:
TbGaSb | GGA-PBE | relaxed

calculated volume = 24.32 Å³ per atom

a b c (Å): 3.7627 3.7627 10.3088
angles (deg): 90.00 90.00 90.00
Space group I4mm (No. 107)
Unique sites:
Tb1 0.0000 0.0000 0.0000
Ga1 0.0000 0.0000 0.3150
Sb1 0.0000 0.0000 0.6876


Model two:
TbGaSb | GGA-PBE | relaxed

calculated volume = 25.29 Å³ per atom

a b c (Å): 4.7247 4.7247 3.9238
angles (deg): 90.00 90.00 120.00
Space group P3m1 (No. 156)
Unique sites:
Tb1 0.0000 0.0000 0.0000
Ga1 0.3333 0.6667 0.4056
Sb1 0.6667 0.3333 0.5339


List of relative energies, unit kJ/mol of atoms: model one 1.0; model two 0.0


Model one:
GaTcSb | GGA-PBE | relaxed

calculated volume = 17.62 Å³ per atom

a b c (Å): 6.9369 3.4778 8.7642
angles (deg): 90.00 90.00 90.00
Space group Pnma (No. 62)
Unique sites:
Ga1 0.1187 0.2500 0.0571
Tc1 0.2460 0.2500 0.3498
Sb1 0.0695 0.2500 0.6491


Model two:
GaTcSb | GGA-PBE | relaxed

calculated volume = 20.15 Å³ per atom

a b c (Å): 9.6661 3.6354 7.0629
angles (deg): 90.00 103.10 90.00
Space group C2/m (No. 12)
Unique sites:
Ga1 0.1192 0.0000 0.3338
Tc1 0.1729 0.0000 0.6995
Sb1 0.1266 0.5000 0.9463


List of relative energies, unit kJ/mol of atoms: model one 0.0; model two 30.4


Model one:
GaTcSb2Te | GGA-PBE | relaxed

calculated volume = 29.56 Å³ per atom

a b c (Å): 5.0644 5.0644 5.7630
angles (deg): 90.00 90.00 90.00
Space group P4/mmm (No. 123)
Unique sites:
Ga1 0.0000 0.0000 0.0000
Tc1 0.5000 0.5000 0.5000
Sb1 0.0000 0.5000 0.5000
Te1 0.5000 0.5000 0.0000


Model two:
GaTcSb2Te | GGA-PBE | relaxed

calculated volume = 29.23 Å³ per atom

a b c (Å): 5.2332 5.2332 5.3369
angles (deg): 90.00 90.00 90.00
Space group P4/mmm (No. 123)
Unique sites:
Ga1 0.0000 0.0000 0.0000
Tc1 0.5000 0.5000 0.5000
Sb1 0.0000 0.5000 0.0000
Te1 0.0000 0.0000 0.5000


List of relative energies, unit kJ/mol of atoms: model one 0.0; model two 70.7


Model one:
GaSb2Te | GGA-PBE | relaxed

calculated volume = 26.32 Å³ per atom

a b c (Å): 7.4951 7.4951 7.4951
angles (deg): 90.00 90.00 90.00
Space group Fm-3m (No. 225)
Unique sites:
Ga1 0.0000 0.0000 0.0000
Sb1 0.2500 0.2500 0.2500
Te1 0.0000 0.0000 0.5000


Model two:
GaSb2Te | GGA-PBE | relaxed

calculated volume = 32.38 Å³ per atom

a b c (Å): 7.3796 7.3796 9.5125
angles (deg): 90.00 90.00 90.00
Space group I-42d (No. 122)
Unique sites:
Ga1 0.0000 0.0000 0.0000
Sb1 0.2134 0.2500 0.1250
Te1 0.0000 0.0000 0.5000


List of relative energies, unit kJ/mol of atoms: model one 4.8; model two 0.0